Sr6Sb6S17 after structural relaxation, computed with PBE-GGA.

Unit cell a=8.385 b=15.731 c=23.187 alpha=90.00 beta=90.00 gamma=90.00
Space group P2_12_12_1 (No. 19)
Asymmetric unit:
1 Sr 0.245 0.062 0.044 x4
2 Sr 0.246 0.337 0.124 x4
3 Sr 0.246 0.836 0.376 x4
4 Sr 0.246 0.953 0.214 x4
5 Sr 0.249 0.564 0.455 x4
6 Sr 0.250 0.458 0.285 x4
7 Sb 0.004 0.202 0.253 x4
8 Sb 0.005 0.836 0.064 x4
9 Sb 0.010 0.069 0.395 x4
10 Sb 0.010 0.171 0.588 x4
11 Sb 0.013 0.780 0.769 x4
12 Sb 0.019 0.425 0.587 x4
13 S 0.002 0.020 0.622 x4
14 S 0.002 0.142 0.782 x4
15 S 0.002 0.472 0.380 x4
16 S 0.003 0.353 0.220 x4
17 S 0.004 0.293 0.929 x4
18 S 0.005 0.571 0.552 x4
19 S 0.005 0.935 0.450 x4
20 S 0.007 0.208 0.070 x4
21 S 0.140 0.251 0.999 x4
22 S 0.208 0.655 0.313 x4
23 S 0.210 0.721 0.843 x4
24 S 0.217 0.381 0.506 x4
25 S 0.217 0.880 0.996 x4
26 S 0.225 0.219 0.652 x4
27 S 0.237 0.529 0.161 x4
28 S 0.238 0.026 0.335 x4
29 S 0.247 0.837 0.697 x4

## Properties
The calculated density comes out at 3.912 Mg/m³. As for the uncorrected formation energy: -1.05 eV per atom. As for the crystal system: orthorhombic.